# 1
Material: CePmSm2P4
Method: DFT, PBE-GGA
State: optimized geometry

## Properties
- electronic total energy (eV/atom) = -6.78
- formation energy (eV per atom) = -1.56

Structure (CIF):
```
data_CePmSm2P4
_chemical_formula_sum 'Ce1 Pm1 Sm2 P4'
_cell_length_a 7.108
_cell_length_b 4.107
_cell_length_c 7.110
_cell_angle_alpha 90.00
_cell_angle_beta 109.39
_cell_angle_gamma 90.00
_space_group_name_H-M_alt 'P 1 2/m 1'
_space_group_IT_number 10
_space_group_name_Hall '-P 2y'
loop_
_atom_site_label
_atom_site_type_symbol
_atom_site_fract_x
_atom_site_fract_y
_atom_site_fract_z
_atom_site_occupancy
Ce1 Ce 0.000 0.000 0.000 1
Pm1 Pm 0.000 0.500 0.500 1
Sm1 Sm 0.500 0.000 0.500 1
Sm2 Sm 0.500 0.500 0.000 1
P1 P 0.248 0.500 0.247 1
P2 P 0.249 0.000 0.753 1
```

# 2
Material: Na3In2Pd4
Method: DFT, PBE-GGA
State: optimized geometry

## Properties
- electronic total energy (eV/atom) = -3.63
- formation energy (eV per atom) = -0.27

Structure (CIF):
```
data_Na3In2Pd4
_chemical_formula_sum 'Na6 In4 Pd8'
_cell_length_a 10.235
_cell_length_b 4.514
_cell_length_c 8.829
_cell_angle_alpha 90.00
_cell_angle_beta 97.71
_cell_angle_gamma 90.00
_space_group_name_H-M_alt 'C 1 2/m 1'
_space_group_IT_number 12
_space_group_name_Hall '-C 2y'
loop_
_atom_site_label
_atom_site_type_symbol
_atom_site_fract_x
_atom_site_fract_y
_atom_site_fract_z
_atom_site_occupancy
Na1 Na 0.000 0.000 0.000 1
Na2 Na 0.136 0.500 0.397 1
In1 In 0.168 0.500 0.776 1
Pd1 Pd 0.076 0.000 0.636 1
Pd2 Pd 0.234 0.500 0.089 1
```

# 3
Material: AlTc5
Method: DFT, PBE-GGA
State: optimized geometry

## Properties
- electronic total energy (eV/atom) = -9.39
- excess energy over the best structure of this formula in the dataset (eV per atom) = 0.000
- formation energy (eV per atom) = -0.13

Structure (CIF):
```
data_AlTc5
_chemical_formula_sum 'Al1 Tc5'
_cell_length_a 4.7230
_cell_length_b 4.7230
_cell_length_c 4.4973
_cell_angle_alpha 90.00
_cell_angle_beta 90.00
_cell_angle_gamma 120.00
_space_group_name_H-M_alt 'P -6 2 m'
_space_group_IT_number 189
_space_group_name_Hall 'P -6 -2'
loop_
_atom_site_label
_atom_site_type_symbol
_atom_site_fract_x
_atom_site_fract_y
_atom_site_fract_z
_atom_site_occupancy
Al1 Al 0.0000 0.0000 0.0000 1
Tc1 Tc 0.0000 0.6783 0.5000 1
Tc2 Tc 0.3333 0.6667 0.0000 1
```

# 4
Material: Tl4AsOs
Method: DFT, PBE-GGA
State: optimized geometry

## Properties
- electronic total energy (eV/atom) = -3.02
- formation energy (eV per atom) = 1.21

Structure (CIF):
```
data_Tl4AsOs
_chemical_formula_sum 'Tl16 As4 Os4'
_cell_length_a 8.664
_cell_length_b 8.664
_cell_length_c 8.664
_cell_angle_alpha 90.00
_cell_angle_beta 90.00
_cell_angle_gamma 90.00
_space_group_name_H-M_alt 'F -4 3 m'
_space_group_IT_number 216
_space_group_name_Hall 'F -4 2 3'
loop_
_atom_site_label
_atom_site_type_symbol
_atom_site_fract_x
_atom_site_fract_y
_atom_site_fract_z
_atom_site_occupancy
Tl1 Tl 0.125 0.125 0.125 1
As1 As 0.250 0.250 0.750 1
Os1 Os 0.000 0.000 0.500 1
```

# 5
Material: Y2ScGaH
Method: DFT, PBE-GGA
State: optimized geometry

## Properties
- electronic total energy (eV/atom) = -5.48

Structure (CIF):
```
data_Y2ScGaH
_chemical_formula_sum 'Y2 Sc1 Ga1 H1'
_cell_length_a 4.713
_cell_length_b 4.713
_cell_length_c 4.510
_cell_angle_alpha 90.00
_cell_angle_beta 90.00
_cell_angle_gamma 90.00
_space_group_name_H-M_alt 'P 4/m m m'
_space_group_IT_number 123
_space_group_name_Hall '-P 4 2'
loop_
_atom_site_label
_atom_site_type_symbol
_atom_site_fract_x
_atom_site_fract_y
_atom_site_fract_z
_atom_site_occupancy
Y1 Y 0.000 0.500 0.000 1
Sc1 Sc 0.000 0.000 0.500 1
Ga1 Ga 0.500 0.500 0.500 1
H1 H 0.000 0.000 0.000 1
```

# 6
Material: MnFe3Ni
Method: DFT, PBE-GGA
State: optimized geometry

## Properties
- electronic total energy (eV/atom) = -7.96
- excess energy over the best structure of this formula in the dataset (eV per atom) = 0.000
- formation energy (eV per atom) = 0.11

Structure (CIF):
```
data_MnFe3Ni
_chemical_formula_sum 'Mn4 Fe12 Ni4'
_cell_length_a 4.777
_cell_length_b 6.229
_cell_length_c 7.846
_cell_angle_alpha 90.00
_cell_angle_beta 90.79
_cell_angle_gamma 90.00
_space_group_name_H-M_alt 'P 1 21/c 1'
_space_group_IT_number 14
_space_group_name_Hall '-P 2ybc'
loop_
_atom_site_label
_atom_site_type_symbol
_atom_site_fract_x
_atom_site_fract_y
_atom_site_fract_z
_atom_site_occupancy
Mn1 Mn 0.248 0.230 0.165 1
Fe1 Fe 0.007 0.662 0.582 1
Fe2 Fe 0.245 0.532 0.908 1
Fe3 Fe 0.251 0.600 0.264 1
Ni1 Ni 0.485 0.662 0.582 1
```

# 7
Material: ReRuRh2
Method: DFT, PBE-GGA
State: optimized geometry

## Properties
- electronic total energy (eV/atom) = -9.12
- excess energy over the best structure of this formula in the dataset (eV per atom) = 0.071
- formation energy (eV per atom) = -0.01

Structure (CIF):
```
data_ReRuRh2
_chemical_formula_sum 'Re2 Ru2 Rh4'
_cell_length_a 9.023
_cell_length_b 2.708
_cell_length_c 4.739
_cell_angle_alpha 90.00
_cell_angle_beta 99.63
_cell_angle_gamma 90.00
_space_group_name_H-M_alt 'C 1 m 1'
_space_group_IT_number 8
_space_group_name_Hall 'C -2y'
loop_
_atom_site_label
_atom_site_type_symbol
_atom_site_fract_x
_atom_site_fract_y
_atom_site_fract_z
_atom_site_occupancy
Re1 Re 0.000 0.000 0.000 1
Ru1 Ru 0.248 0.500 0.247 1
Rh1 Rh 0.253 0.000 0.754 1
Rh2 Rh 0.497 0.000 0.496 1
```

# 8
Material: NaTi2Rh
Method: DFT, PBE-GGA
State: optimized geometry

## Properties
- electronic total energy (eV/atom) = -6.00
- excess energy over the best structure of this formula in the dataset (eV per atom) = 0.000
- formation energy (eV per atom) = 0.12

Structure (CIF):
```
data_NaTi2Rh
_chemical_formula_sum 'Na4 Ti8 Rh4'
_cell_length_a 6.410
_cell_length_b 6.410
_cell_length_c 6.410
_cell_angle_alpha 90.00
_cell_angle_beta 90.00
_cell_angle_gamma 90.00
_space_group_name_H-M_alt 'F m -3 m'
_space_group_IT_number 225
_space_group_name_Hall '-F 4 2 3'
loop_
_atom_site_label
_atom_site_type_symbol
_atom_site_fract_x
_atom_site_fract_y
_atom_site_fract_z
_atom_site_occupancy
Na1 Na 0.000 0.000 0.000 1
Ti1 Ti 0.250 0.250 0.250 1
Rh1 Rh 0.000 0.000 0.500 1
```

# 9
Material: NpSc2Te4
Method: DFT, PBE-GGA
State: optimized geometry

## Properties
- electronic total energy (eV/atom) = -6.45
- ΔE_f (raw) (eV per atom) = -1.000

Structure (CIF):
```
data_NpSc2Te4
_chemical_formula_sum 'Np4 Sc8 Te16'
_cell_length_a 4.181
_cell_length_b 13.711
_cell_length_c 14.373
_cell_angle_alpha 90.00
_cell_angle_beta 90.00
_cell_angle_gamma 90.00
_space_group_name_H-M_alt 'C m c m'
_space_group_IT_number 63
_space_group_name_Hall '-C 2c 2'
loop_
_atom_site_label
_atom_site_type_symbol
_atom_site_fract_x
_atom_site_fract_y
_atom_site_fract_z
_atom_site_occupancy
Np1 Np 0.000 0.119 0.250 1
Sc1 Sc 0.000 0.368 0.065 1
Te1 Te 0.000 0.000 0.000 1
Te2 Te 0.000 0.272 0.618 1
Te3 Te 0.000 0.449 0.250 1
```

# 10
Material: Cd3Ru5
Method: DFT, PBE-GGA
State: optimized geometry

## Properties
- electronic total energy (eV/atom) = -5.67
- excess energy over the best structure of this formula in the dataset (eV per atom) = 0.000
- formation energy (eV per atom) = 0.47

Structure (CIF):
```
data_Cd3Ru5
_chemical_formula_sum 'Cd12 Ru20'
_cell_length_a 4.827
_cell_length_b 15.057
_cell_length_c 8.164
_cell_angle_alpha 90.00
_cell_angle_beta 106.83
_cell_angle_gamma 90.00
_space_group_name_H-M_alt 'C 1 2/m 1'
_space_group_IT_number 12
_space_group_name_Hall '-C 2y'
loop_
_atom_site_label
_atom_site_type_symbol
_atom_site_fract_x
_atom_site_fract_y
_atom_site_fract_z
_atom_site_occupancy
Cd1 Cd 0.000 0.201 0.000 1
Cd2 Cd 0.000 0.202 0.500 1
Cd3 Cd 0.209 0.500 0.408 1
Ru1 Ru 0.085 0.365 0.170 1
Ru2 Ru 0.161 0.086 0.268 1
Ru3 Ru 0.231 0.000 0.957 1
```

# 11
Material: LaDyPu
Method: DFT, PBE-GGA
State: optimized geometry

## Properties
- electronic total energy (eV/atom) = -7.81
- excess energy over the best structure of this formula in the dataset (eV per atom) = 0.015
- formation energy (eV per atom) = 0.14

Structure (CIF):
```
data_LaDyPu
_chemical_formula_sum 'La1 Dy1 Pu1'
_cell_length_a 3.5783
_cell_length_b 3.5783
_cell_length_c 8.6402
_cell_angle_alpha 90.00
_cell_angle_beta 90.00
_cell_angle_gamma 120.00
_space_group_name_H-M_alt 'P 3 m 1'
_space_group_IT_number 156
_space_group_name_Hall 'P 3 -2"'
loop_
_atom_site_label
_atom_site_type_symbol
_atom_site_fract_x
_atom_site_fract_y
_atom_site_fract_z
_atom_site_occupancy
La1 La 0.0000 0.0000 0.0000 1
Dy1 Dy 0.3333 0.6667 0.6526 1
Pu1 Pu 0.6667 0.3333 0.3311 1
```

# 12
Material: Nd3Y2Er4
Method: DFT, PBE-GGA
State: optimized geometry

## Properties
- electronic total energy (eV/atom) = -4.85
- excess energy over the best structure of this formula in the dataset (eV per atom) = 0.104
- formation energy (eV per atom) = 0.20

Structure (CIF):
```
data_Nd3Y2Er4
_chemical_formula_sum 'Nd6 Y4 Er8'
_cell_length_a 10.864
_cell_length_b 5.132
_cell_length_c 11.144
_cell_angle_alpha 90.00
_cell_angle_beta 101.28
_cell_angle_gamma 90.00
_space_group_name_H-M_alt 'C 1 2/m 1'
_space_group_IT_number 12
_space_group_name_Hall '-C 2y'
loop_
_atom_site_label
_atom_site_type_symbol
_atom_site_fract_x
_atom_site_fract_y
_atom_site_fract_z
_atom_site_occupancy
Nd1 Nd 0.000 0.000 0.000 1
Nd2 Nd 0.056 0.500 0.754 1
Y1 Y 0.166 0.000 0.579 1
Er1 Er 0.145 0.000 0.279 1
Er2 Er 0.220 0.500 0.102 1
```